[1]
This record from Alexandria describes a relaxed Pu2Be2Si3 crystal. The functional is PBE.

a = 4.041 Å, b = 6.494 Å, c = 9.025 Å
α = 90.00°, β = 102.94°, γ = 90.00°
Last column: magnetic moment on the atom in μB.
Sites, in units of the cell vectors:
Pu 0.951 0.250 0.902  5.02
Pu 0.049 0.750 0.098  5.02
Pu 0.169 0.250 0.337  5.10
Pu 0.831 0.750 0.663  5.10
Be 0.326 0.084 0.651  0.02
Be 0.674 0.916 0.349  0.02
Be 0.674 0.584 0.349  0.02
Be 0.326 0.416 0.651  0.02
Si 0.563 0.069 0.125  -0.03
Si 0.786 0.250 0.572  -0.03
Si 0.437 0.569 0.875  -0.03
Si 0.437 0.931 0.875  -0.03
Si 0.214 0.750 0.428  -0.03
Si 0.563 0.431 0.125  -0.03

Output
density of states at the Fermi level: 2.430 states/eV per atom
space group: Cmcm, No. 63
ρ: 8.49 g cm⁻³
size of the total moment: 1.53 μB per atom
final energy: -7.80 eV per atom

[2]
This record from Alexandria describes a relaxed Pu2BeSi2 crystal. The functional is PBE.

a = 3.970 Å, b = 5.713 Å, c = 8.961 Å
α = 90.73°, β = 77.20°, γ = 69.67°
Last column: magnetic moment on the atom in μB.
Sites, in units of the cell vectors:
Be 0.363 0.933 0.340  0.02
Be 0.637 0.067 0.660  0.02
Pu 0.349 0.646 0.657  -5.21
Pu 0.095 0.706 0.104  -5.30
Pu 0.905 0.294 0.896  -5.30
Pu 0.651 0.354 0.343  -5.21
Si 0.626 0.867 0.880  0.07
Si 0.374 0.133 0.120  0.07
Si 0.886 0.795 0.433  0.07
Si 0.114 0.205 0.567  0.07

Output
density of states at the Fermi level: 2.897 states/eV per atom
space group: C2/m, No. 12
ρ: 9.93 g cm⁻³
size of the total moment: 2.21 μB per atom
final energy: -9.00 eV per atom

[3]
This record from Alexandria describes a relaxed Pu2Be3Si4Tc crystal. The functional is PBE.

a = 3.899 Å, b = 3.899 Å, c = 9.849 Å
α = 90.00°, β = 90.00°, γ = 90.00°
Last column: magnetic moment on the atom in μB.
Sites, in units of the cell vectors:
Be 0.500 0.000 0.873  -0.02
Be 0.000 0.000 0.500  -0.02
Be 0.000 0.500 0.127  -0.02
Pu 0.500 0.000 0.236  5.13
Pu 0.000 0.500 0.764  5.13
Si 0.500 0.500 0.000  -0.02
Si 0.500 0.000 0.643  -0.01
Si 0.000 0.000 0.000  -0.02
Si 0.000 0.500 0.357  -0.01
Tc 0.500 0.500 0.500  -0.15

Output
density of states at the Fermi level: 1.686 states/eV per atom
space group: P-4m2, No. 115
ρ: 8.04 g cm⁻³
size of the total moment: 1.07 μB per atom
final energy: -7.53 eV per atom

[4]
This record from Alexandria describes a relaxed Pu2Be4Si3Tc crystal. The functional is PBE.

a = 3.859 Å, b = 3.859 Å, c = 9.655 Å
α = 90.00°, β = 90.00°, γ = 90.00°
Last column: magnetic moment on the atom in μB.
Sites, in units of the cell vectors:
Si 0.000 0.000 0.500  -0.05
Si 0.500 0.000 0.869  -0.06
Si 0.000 0.500 0.131  -0.06
Be 0.500 0.000 0.635  0.01
Be 0.500 0.500 0.000  0.00
Be 0.000 0.000 0.000  -0.01
Be 0.000 0.500 0.365  0.01
Tc 0.500 0.500 0.500  -0.48
Pu 0.000 0.500 0.747  5.07
Pu 0.500 0.000 0.253  5.07

Output
density of states at the Fermi level: 1.557 states/eV per atom
space group: P-4m2, No. 115
ρ: 8.16 g cm⁻³
size of the total moment: 1.02 μB per atom
final energy: -7.30 eV per atom